VPbNF2 PBE+U relaxed; space-group type = No. 123; DFT total energy = -29.46 eV/cell; M_tot = 1.9 μB/cell
1.0
4.158 0.000 0.000
0.000 4.158 0.000
0.000 0.000 4.012
V Pb N F
1 1 1 2
Cartesian
0.000 0.000 0.000
2.079 2.079 2.006
0.000 0.000 2.006
0.000 2.079 0.000
2.079 0.000 0.000